[1]
# NaPrTmCd PBE relaxed
data_NaPrTmCd
_space_group_name_H-M_alt 'P 1'
_space_group_IT_number 1
_cell_length_a 5.466
_cell_length_b 5.466
_cell_length_c 5.466
_cell_angle_alpha 60.00
_cell_angle_beta 60.00
_cell_angle_gamma 60.00
loop_
_space_group_symop_operation_xyz
'x,y,z'
loop_
_atom_site_label
_atom_site_fract_x
_atom_site_fract_y
_atom_site_fract_z
Na1 0.000 0.000 0.000
Pr1 0.750 0.750 0.750
Tm1 0.250 0.250 0.250
Cd1 0.500 0.500 0.500
# - E_form: 0.03 eV per atom

---

[2]
# CaMg6C PBE relaxed
data_CaMg6C
_space_group_name_H-M_alt 'P 1'
_space_group_IT_number 1
_cell_length_a 3.407
_cell_length_b 10.447
_cell_length_c 10.447
_cell_angle_alpha 31.95
_cell_angle_beta 90.00
_cell_angle_gamma 90.00
loop_
_space_group_symop_operation_xyz
'x,y,z'
loop_
_atom_site_label
_atom_site_fract_x
_atom_site_fract_y
_atom_site_fract_z
Ca1 0.000 0.000 0.000
Mg1 0.000 0.492 0.999
Mg2 0.000 0.999 0.492
Mg3 0.500 0.134 0.602
Mg4 0.500 0.139 0.139
Mg5 0.500 0.599 0.599
Mg6 0.500 0.602 0.134
C1 0.000 0.336 0.336
# - E_form: 0.31 eV per atom

---

[3]
# CaCuTe2 PBE relaxed
data_CaCuTe2
_space_group_name_H-M_alt 'P 1'
_space_group_IT_number 1
_cell_length_a 5.047
_cell_length_b 5.047
_cell_length_c 3.991
_cell_angle_alpha 90.00
_cell_angle_beta 90.00
_cell_angle_gamma 97.97
loop_
_space_group_symop_operation_xyz
'x,y,z'
loop_
_atom_site_label
_atom_site_fract_x
_atom_site_fract_y
_atom_site_fract_z
Ca1 0.000 0.000 0.000
Cu1 0.500 0.500 0.000
Te1 0.000 0.500 0.500
Te2 0.500 0.000 0.500
# - Uncorrected formation energy: -42.11 kJ/mol of atoms

---

[4]
# BaTa2In PBE relaxed
data_BaTa2In
_space_group_name_H-M_alt 'P 1'
_space_group_IT_number 1
_cell_length_a 3.090
_cell_length_b 5.238
_cell_length_c 6.737
_cell_angle_alpha 90.00
_cell_angle_beta 95.90
_cell_angle_gamma 90.00
loop_
_space_group_symop_operation_xyz
'x,y,z'
loop_
_atom_site_label
_atom_site_fract_x
_atom_site_fract_y
_atom_site_fract_z
Ba1 0.000 0.000 0.000
Ta1 0.286 0.500 0.661
Ta2 0.714 0.500 0.339
In1 0.500 0.000 0.500
# - E_form: 0.72 eV per atom

---

[5]
# Na3Sr4La3Ti10O30 PBE relaxed
data_Na3Sr4La3Ti10O30
_space_group_name_H-M_alt 'P 1'
_space_group_IT_number 1
_cell_length_a 5.548
_cell_length_b 5.551
_cell_length_c 20.001
_cell_angle_alpha 82.19
_cell_angle_beta 82.08
_cell_angle_gamma 89.97
loop_
_space_group_symop_operation_xyz
'x,y,z'
loop_
_atom_site_label
_atom_site_fract_x
_atom_site_fract_y
_atom_site_fract_z
Na1 0.000 0.000 0.000
Na2 0.196 0.191 0.602
Na3 0.602 0.594 0.801
Sr1 0.303 0.324 0.401
Sr2 0.400 0.423 0.199
Sr3 0.801 0.823 0.399
Sr4 0.901 0.923 0.198
La1 0.100 0.098 0.801
La2 0.497 0.506 0.999
La3 0.704 0.691 0.602
Ti1 0.049 0.556 0.898
Ti2 0.153 0.652 0.700
Ti3 0.255 0.761 0.503
Ti4 0.348 0.871 0.300
Ti5 0.444 0.963 0.097
Ti6 0.552 0.054 0.899
Ti7 0.651 0.153 0.700
Ti8 0.745 0.256 0.503
Ti9 0.851 0.371 0.300
Ti10 0.946 0.462 0.097
O1 0.004 0.520 0.509
O2 0.051 0.632 0.795
O3 0.060 0.536 0.994
O4 0.107 0.129 0.289
O5 0.111 0.631 0.287
O6 0.182 0.745 0.103
O7 0.237 0.257 0.099
O8 0.264 0.743 0.597
O9 0.268 0.822 0.396
O10 0.277 0.305 0.884
O11 0.341 0.809 0.883
O12 0.367 0.958 0.709
O13 0.429 0.458 0.706
O14 0.443 0.932 0.194
O15 0.459 0.027 0.994
O16 0.502 0.042 0.487
O17 0.522 0.549 0.490
O18 0.599 0.127 0.304
O19 0.605 0.627 0.301
O20 0.650 0.236 0.597
O21 0.665 0.138 0.795
O22 0.681 0.700 0.085
O23 0.735 0.214 0.083
O24 0.766 0.360 0.906
O25 0.833 0.860 0.903
O26 0.844 0.333 0.396
O27 0.872 0.419 0.193
O28 0.877 0.907 0.684
O29 0.938 0.412 0.684
O30 0.982 0.008 0.507
# - Uncorrected formation energy: -295.89 kJ/mol of atoms

---

[6]
# Tb4BiSb2Se PBE relaxed
data_Tb4BiSb2Se
_space_group_name_H-M_alt 'P 1'
_space_group_IT_number 1
_cell_length_a 7.540
_cell_length_b 4.362
_cell_length_c 7.548
_cell_angle_alpha 90.00
_cell_angle_beta 109.43
_cell_angle_gamma 90.00
loop_
_space_group_symop_operation_xyz
'x,y,z'
loop_
_atom_site_label
_atom_site_fract_x
_atom_site_fract_y
_atom_site_fract_z
Tb1 0.248 0.000 0.243
Tb2 0.252 0.500 0.756
Tb3 0.748 0.500 0.244
Tb4 0.752 0.000 0.757
Bi1 0.500 0.500 0.500
Sb1 0.000 0.000 0.500
Sb2 0.000 0.500 0.000
Se1 0.500 0.000 0.000
# - Uncorrected formation energy: -119.36 kJ/mol of atoms

---

Values for total energy, eV for the cell shown, ordered as above
-11.35, -18.29, -14.13, -25.49, -406.50, -44.03